Below is a relaxed Tm3In3Hg crystal, with properties calculated at the GGA-PBE level.

Structure (CIF):
```
data_Tm3In3Hg
_cell_length_a 4.624
_cell_length_b 6.069
_cell_length_c 14.382
_cell_angle_alpha 82.57
_cell_angle_beta 80.75
_cell_angle_gamma 67.61
_space_group_name_H-M_alt 'P 1'
_space_group_IT_number 1
_space_group_name_Hall 'P 1'
loop_
_atom_site_label
_atom_site_type_symbol
_atom_site_fract_x
_atom_site_fract_y
_atom_site_fract_z
_atom_site_occupancy
In1 In 0.137 0.264 0.463 1
In2 In 0.120 0.835 0.926 1
In3 In 0.880 0.165 0.074 1
In4 In 0.002 0.220 0.775 1
In5 In 0.863 0.736 0.537 1
In6 In 0.998 0.780 0.225 1
Tm1 Tm 0.603 0.719 0.075 1
Tm2 Tm 0.397 0.281 0.925 1
Tm3 Tm 0.524 0.326 0.626 1
Tm4 Tm 0.725 0.770 0.780 1
Tm5 Tm 0.476 0.674 0.374 1
Tm6 Tm 0.275 0.230 0.220 1
Hg1 Hg 0.241 0.888 0.631 1
Hg2 Hg 0.759 0.112 0.369 1
```

As for the final energy: -3.504 eV/atom. The value obtained for the calculated density is 9.5 g/cm3.